## Be2ReOs (meta-GGA SCAN)

Data for a crystal of Be2ReOs relaxed with PBEsol.

a = 3.9578 Å, b = 3.9578 Å, c = 3.9578 Å
α = 60.00°, β = 60.00°, γ = 60.00°
Closest atoms and distances in Å follow each position.
Element x y z (fractional)
1 Re 0.0000 0.0000 0.0000  8 Be 2.42
2 Os 0.5000 0.5000 0.5000  8 Be 2.42
3 Be 0.7500 0.7500 0.7500  4 Re 2.42, 4 Os 2.42
4 Be 0.2500 0.2500 0.2500  4 Os 2.42, 4 Re 2.42

Calculated values
Space-group type: Fm-3m
ΔE_f (kJ per mole of atoms): -1